Below is a PBEsol-optimized structure of Zr2MnFe3, with properties calculated at the SCAN level.

Output
Space-group type   R-3m (166)
Total magnetic moment   6.79 μB per formula unit
N(E_F)   3.013 states/eV per cell
Formation energy   -1.410 eV per formula unit

Cell: 4.8960 4.8960 4.8960 Å, 59.74 59.74 59.74°
Fractional coordinates of all 6 atoms:
Zr (0.1247, 0.1247, 0.1247)
Zr (0.8753, 0.8753, 0.8753)
Mn (0.5000, 0.5000, 0.5000)
Fe (0.0000, 0.5000, 0.5000)
Fe (0.5000, 0.0000, 0.5000)
Fe (0.5000, 0.5000, 0.0000)